VASP calculation (PBE) on a relaxed structure of Ca2FeAu.

a b c (Å): 5.1716 5.1714 3.4823
angles (deg): 90.07 90.07 90.16
Fractional coordinates of all 4 atoms:
Ca  0.0000  0.0000  0.0000
Ca  0.5000  0.5000  0.0000
Au  0.0000  0.5000  0.5000
Fe  0.5000  0.0000  0.5000

Calculated values
- SG: C2/m, No. 12
- Formation energy from the elements: -22.0 meV/atom
- Total moment: 2.21 μB per formula unit
- Volume: 23.3 Å³/atom

***

VASP calculation (PBE) on a relaxed structure of CaFeAu2.

a b c (Å): 4.7596 4.7596 4.7596
angles (deg): 60.00 60.00 60.00
Fractional coordinates of all 4 atoms:
Ca  0.5000  0.5000  0.5000
Au  0.0000  0.0000  0.0000
Au  0.7500  0.7500  0.7500
Fe  0.2500  0.2500  0.2500

Calculated values
- SG: F-43m, No. 216
- Formation energy from the elements: -20.2 meV/atom
- Total moment: 2.98 μB per formula unit
- Volume: 19.1 Å³/atom

***

VASP calculation (PBE) on a relaxed structure of Ca2FeAu.

a b c (Å): 7.9665 7.9665 6.4130
angles (deg): 51.60 51.60 90.00
Fractional coordinates of all 8 atoms:
Ca  0.6288  0.1250  0.2500
Ca  0.1212  0.6250  0.2500
Ca  0.3750  0.3712  0.7500
Ca  0.8750  0.8788  0.7500
Au  0.0000  0.0000  0.0000
Au  0.7500  0.2500  0.5000
Fe  0.5000  0.5000  0.0000
Fe  0.2500  0.7500  0.5000

Calculated values
- SG: I-42d, No. 122
- Formation energy from the elements: 253.2 meV/atom
- Total moment: 2.17 μB per formula unit
- Volume: 24.3 Å³/atom